# MgZnCd2

A relaxed structure of MgZnCd2 (PBE-GGA, Alexandria).

Output
Calculated density ... 6.34 Mg/m³
Excess energy over the best structure of this formula in the dataset ... 0.0327 eV per atom
Total moment ... 0.00 μB per cell
Symmetry ... No. 44
Formation energy ... 0.01 eV per atom

```
MgZnCd2
1.0
5.915 0.100 0.132
2.738 5.244 -0.132
-3.650 -3.768 2.738
Zn Mg Cd
1 1 2
direct
0.252 0.752 0.500 Zn
0.486 0.486 0.000 Mg
0.748 0.248 0.500 Cd
0.014 0.014 0.000 Cd
```